# 1
{
  "formula": "Ba3InSn",
  "functional": "PBE",
  "state": "optimized geometry",
  "n_ef_per_ev_cell": 7.71,
  "e_above_lowest_polymorph_mev_per_atom": 125,
  "formation_enthalpy_0k_ev_per_atom": -0.34,
  "dft_energy_ev_per_atom": -2.84,
  "lattice_angstrom": [[5.727, 0.000, 0.000], [-0.001, 7.732, 0.000], [-0.016, -0.233, 10.273]],
  "species": ["Ba", "Ba", "Ba", "Ba", "Ba", "Ba", "In", "In", "Sn", "Sn"],
  "frac_coords": [[0.000, 0.000, 0.000], [0.000, 0.179, 0.605], [0.000, 0.485, 0.943], [0.001, 0.638, 0.311], [0.499, 0.754, 0.788], [0.501, 0.243, 0.216], [0.501, 0.845, 0.452], [0.999, 0.698, 0.627], [0.499, 0.228, 0.855], [0.500, 0.748, 0.147]]
}

# 2
{
  "formula": "Ba4InSn",
  "functional": "PBE",
  "state": "optimized geometry",
  "n_ef_per_ev_cell": 19.87,
  "e_above_lowest_polymorph_mev_per_atom": 23,
  "formation_enthalpy_0k_ev_per_atom": -0.37,
  "dft_energy_ev_per_atom": -2.77,
  "lattice_angstrom": [[0.000, 8.265, 8.265], [8.265, 0.000, 8.265], [8.265, 8.265, 0.000]],
  "species": ["Ba", "Ba", "Ba", "Ba", "Ba", "Ba", "Ba", "Ba", "Ba", "Ba", "Ba", "Ba", "Ba", "Ba", "Ba", "Ba", "In", "In", "In", "In", "Sn", "Sn", "Sn", "Sn"],
  "frac_coords": [[0.045, 0.045, 0.455], [0.045, 0.455, 0.045], [0.045, 0.455, 0.455], [0.192, 0.192, 0.808], [0.192, 0.603, 0.603], [0.192, 0.808, 0.192], [0.192, 0.808, 0.808], [0.455, 0.045, 0.045], [0.455, 0.045, 0.455], [0.455, 0.455, 0.045], [0.603, 0.192, 0.603], [0.603, 0.603, 0.192], [0.603, 0.603, 0.603], [0.808, 0.192, 0.192], [0.808, 0.192, 0.808], [0.808, 0.808, 0.192], [0.536, 0.821, 0.821], [0.821, 0.536, 0.821], [0.821, 0.821, 0.536], [0.821, 0.821, 0.821], [0.388, 0.388, 0.388], [0.388, 0.388, 0.836], [0.388, 0.836, 0.388], [0.836, 0.388, 0.388]]
}

# 3
{
  "formula": "Ba3In5Sn12",
  "functional": "PBE",
  "state": "optimized geometry",
  "n_ef_per_ev_cell": 56.76,
  "formation_enthalpy_0k_ev_per_atom": 0.10,
  "dft_energy_ev_per_atom": -3.28,
  "lattice_angstrom": [[-9.207, 9.207, 9.207], [9.207, -9.207, 9.207], [9.207, 9.207, -9.207]],
  "species": ["Ba", "Ba", "Ba", "Ba", "Ba", "Ba", "Ba", "Ba", "Ba", "Ba", "Ba", "Ba", "In", "In", "In", "In", "In", "In", "In", "In", "In", "In", "In", "In", "In", "In", "In", "In", "In", "In", "In", "In", "Sn", "Sn", "Sn", "Sn", "Sn", "Sn", "Sn", "Sn", "Sn", "Sn", "Sn", "Sn", "Sn", "Sn", "Sn", "Sn", "Sn", "Sn", "Sn", "Sn", "Sn", "Sn", "Sn", "Sn", "Sn", "Sn", "Sn", "Sn", "Sn", "Sn", "Sn", "Sn", "Sn", "Sn", "Sn", "Sn", "Sn", "Sn", "Sn", "Sn", "Sn", "Sn", "Sn", "Sn", "Sn", "Sn", "Sn", "Sn"],
  "frac_coords": [[0.125, 0.250, 0.375], [0.125, 0.375, 0.750], [0.250, 0.375, 0.125], [0.250, 0.875, 0.625], [0.375, 0.125, 0.250], [0.375, 0.750, 0.125], [0.625, 0.250, 0.875], [0.625, 0.875, 0.750], [0.750, 0.125, 0.375], [0.750, 0.625, 0.875], [0.875, 0.625, 0.250], [0.875, 0.750, 0.625], [0.000, 0.000, 0.000], [0.000, 0.000, 0.500], [0.000, 0.500, 0.000], [0.000, 0.500, 0.500], [0.125, 0.750, 0.875], [0.125, 0.875, 0.250], [0.250, 0.125, 0.875], [0.250, 0.625, 0.375], [0.375, 0.250, 0.625], [0.375, 0.625, 0.750], [0.500, 0.000, 0.000], [0.500, 0.000, 0.500], [0.500, 0.500, 0.000], [0.500, 0.500, 0.500], [0.625, 0.375, 0.250], [0.625, 0.750, 0.375], [0.750, 0.375, 0.625], [0.750, 0.875, 0.125], [0.875, 0.125, 0.750], [0.875, 0.250, 0.125], [0.012, 0.203, 0.069], [0.012, 0.309, 0.942], [0.058, 0.569, 0.367], [0.058, 0.988, 0.691], [0.069, 0.012, 0.203], [0.069, 0.558, 0.867], [0.133, 0.703, 0.691], [0.133, 0.931, 0.442], [0.191, 0.203, 0.633], [0.191, 0.488, 0.558], [0.203, 0.069, 0.012], [0.203, 0.633, 0.191], [0.297, 0.309, 0.867], [0.297, 0.488, 0.431], [0.309, 0.867, 0.297], [0.309, 0.942, 0.012], [0.367, 0.058, 0.569], [0.367, 0.809, 0.797], [0.431, 0.297, 0.488], [0.431, 0.633, 0.942], [0.442, 0.133, 0.931], [0.442, 0.809, 0.512], [0.488, 0.431, 0.297], [0.488, 0.558, 0.191], [0.512, 0.442, 0.809], [0.512, 0.569, 0.703], [0.558, 0.191, 0.488], [0.558, 0.867, 0.069], [0.569, 0.367, 0.058], [0.569, 0.703, 0.512], [0.633, 0.191, 0.203], [0.633, 0.942, 0.431], [0.691, 0.058, 0.988], [0.691, 0.133, 0.703], [0.703, 0.512, 0.569], [0.703, 0.691, 0.133], [0.797, 0.367, 0.809], [0.797, 0.931, 0.988], [0.809, 0.512, 0.442], [0.809, 0.797, 0.367], [0.867, 0.069, 0.558], [0.867, 0.297, 0.309], [0.931, 0.442, 0.133], [0.931, 0.988, 0.797], [0.942, 0.012, 0.309], [0.942, 0.431, 0.633], [0.988, 0.691, 0.058], [0.988, 0.797, 0.931]]
}

# 4
{
  "formula": "BaIn2Sn2",
  "functional": "PBE",
  "state": "optimized geometry",
  "n_ef_per_ev_cell": 5.60,
  "e_above_lowest_polymorph_mev_per_atom": 40,
  "formation_enthalpy_0k_ev_per_atom": -0.31,
  "dft_energy_ev_per_atom": -3.39,
  "lattice_angstrom": [[-2.575, 2.575, 12.346], [2.575, -2.575, 12.346], [2.575, 2.575, -12.346]],
  "species": ["Ba", "Ba", "In", "In", "In", "In", "Sn", "Sn", "Sn", "Sn"],
  "frac_coords": [[0.122, 0.122, 0.000], [0.878, 0.878, 0.000], [0.000, 0.500, 0.500], [0.313, 0.313, 0.000], [0.500, 0.000, 0.500], [0.687, 0.687, 0.000], [0.250, 0.750, 0.500], [0.429, 0.429, 0.000], [0.571, 0.571, 0.000], [0.750, 0.250, 0.500]]
}

# 5
{
  "formula": "Ba2In5Sn4",
  "functional": "PBE",
  "state": "optimized geometry",
  "n_ef_per_ev_cell": 5.31,
  "formation_enthalpy_0k_ev_per_atom": -0.23,
  "dft_energy_ev_per_atom": -3.28,
  "lattice_angstrom": [[0.000, 5.508, 9.624], [3.414, 0.000, 9.624], [3.414, 5.508, 0.000]],
  "species": ["Ba", "Ba", "In", "In", "In", "In", "In", "Sn", "Sn", "Sn", "Sn"],
  "frac_coords": [[0.131, 0.131, 0.869], [0.869, 0.869, 0.131], [0.000, 0.000, 0.500], [0.250, 0.250, 0.250], [0.500, 0.500, 0.000], [0.500, 0.500, 0.500], [0.750, 0.750, 0.750], [0.221, 0.495, 0.505], [0.495, 0.221, 0.779], [0.505, 0.779, 0.221], [0.779, 0.505, 0.495]]
}

# 6
{
  "formula": "BaIn4Sn4",
  "functional": "PBE",
  "state": "optimized geometry",
  "n_ef_per_ev_cell": 9.25,
  "formation_enthalpy_0k_ev_per_atom": -0.10,
  "dft_energy_ev_per_atom": -3.31,
  "lattice_angstrom": [[8.017, 0.000, 0.000], [0.000, 8.017, 0.000], [0.000, 0.000, 9.081]],
  "species": ["Ba", "Ba", "In", "In", "In", "In", "In", "In", "In", "In", "Sn", "Sn", "Sn", "Sn", "Sn", "Sn", "Sn", "Sn"],
  "frac_coords": [[0.250, 0.750, 0.250], [0.750, 0.250, 0.750], [0.003, 0.250, 0.112], [0.250, 0.003, 0.612], [0.250, 0.497, 0.612], [0.497, 0.250, 0.112], [0.503, 0.750, 0.888], [0.750, 0.503, 0.388], [0.750, 0.997, 0.388], [0.997, 0.750, 0.888], [0.044, 0.250, 0.432], [0.250, 0.044, 0.932], [0.250, 0.456, 0.932], [0.456, 0.250, 0.432], [0.544, 0.750, 0.568], [0.750, 0.544, 0.068], [0.750, 0.956, 0.068], [0.956, 0.750, 0.568]]
}

# 7
{
  "formula": "Ba2In15Sn2",
  "functional": "PBE",
  "state": "optimized geometry",
  "n_ef_per_ev_cell": 8.83,
  "e_above_lowest_polymorph_mev_per_atom": 15,
  "formation_enthalpy_0k_ev_per_atom": -0.12,
  "dft_energy_ev_per_atom": -2.90,
  "lattice_angstrom": [[4.899, 2.828, 6.727], [-4.899, 2.828, 6.727], [0.000, -5.656, 6.727]],
  "species": ["Ba", "Ba", "In", "In", "In", "In", "In", "In", "In", "In", "In", "In", "In", "In", "In", "In", "In", "Sn", "Sn"],
  "frac_coords": [[0.218, 0.218, 0.218], [0.782, 0.782, 0.782], [0.000, 0.500, 0.500], [0.062, 0.062, 0.706], [0.062, 0.706, 0.062], [0.204, 0.500, 0.796], [0.204, 0.796, 0.500], [0.294, 0.938, 0.938], [0.500, 0.000, 0.500], [0.500, 0.204, 0.796], [0.500, 0.500, 0.000], [0.500, 0.796, 0.204], [0.706, 0.062, 0.062], [0.796, 0.204, 0.500], [0.796, 0.500, 0.204], [0.938, 0.294, 0.938], [0.938, 0.938, 0.294], [0.402, 0.402, 0.402], [0.598, 0.598, 0.598]]
}

# 8
{
  "formula": "BaIn3Sn",
  "functional": "PBE",
  "state": "optimized geometry",
  "n_ef_per_ev_cell": 3.31,
  "e_above_lowest_polymorph_mev_per_atom": 1192,
  "formation_enthalpy_0k_ev_per_atom": 0.85,
  "dft_energy_ev_per_atom": -1.98,
  "lattice_angstrom": [[6.235, 0.000, 0.000], [0.000, 6.235, 0.000], [0.000, 0.000, 6.235]],
  "species": ["Ba", "In", "In", "In", "Sn"],
  "frac_coords": [[0.000, 0.000, 0.000], [0.000, 0.000, 0.500], [0.000, 0.500, 0.000], [0.500, 0.000, 0.000], [0.500, 0.500, 0.500]]
}